# 1
VASP calculation (PBEsol) on an optimized crystal structure of Zr4SiPb.

Calculated values
- formation energy without anion corrections (kcal/mol of atoms) = 5.53
- space group = No. 216
- total DFT energy (no corrections) (eV/atom) = -7.444
- mass density (g/cm³) = 7.740
- DOS(E_F) (states/eV per atom) = 1.1190
- spin magnetization (μB per formula unit) = 0.00

Cell lengths 5.668, 5.668, 5.668 Å; angles 60.00, 60.00, 60.00 degrees
Element x y z (fractional)
1 Pb 0.750 0.750 0.750
2 Zr 0.375 0.876 0.375
3 Zr 0.375 0.375 0.876
4 Zr 0.375 0.375 0.375
5 Zr 0.876 0.375 0.375
6 Si 0.000 0.000 0.000

# 2
VASP calculation (PBEsol) on an optimized crystal structure of Zr5SiPb3.

Calculated values
- formation energy without anion corrections (kcal/mol of atoms) = -12.53
- space group = No. 193
- total DFT energy (no corrections) (eV/atom) = -7.565
- mass density (g/cm³) = 9.589
- DOS(E_F) (states/eV per atom) = 0.7215
- spin magnetization (μB per formula unit) = 0.00

Cell lengths 5.868, 8.681, 8.681 Å; angles 120.00, 90.00, 90.00 degrees
Element x y z (fractional)
1 Zr 0.500 0.667 0.333
2 Zr 0.750 0.000 0.256
3 Zr 0.250 0.256 0.256
4 Zr 0.750 0.256 0.000
5 Zr 0.250 0.000 0.744
6 Zr 0.000 0.667 0.333
7 Zr 0.250 0.744 0.000
8 Zr 0.750 0.744 0.744
9 Zr 0.000 0.333 0.667
10 Zr 0.500 0.333 0.667
11 Pb 0.750 0.393 0.393
12 Pb 0.750 0.000 0.607
13 Pb 0.750 0.607 0.000
14 Pb 0.250 0.000 0.393
15 Pb 0.250 0.393 0.000
16 Pb 0.250 0.607 0.607
17 Si 0.500 0.000 0.000
18 Si 0.000 0.000 0.000

# 3
VASP calculation (PBEsol) on an optimized crystal structure of ZrSiPb2.

Calculated values
- formation energy without anion corrections (kcal/mol of atoms) = 3.32
- space group = No. 47
- total DFT energy (no corrections) (eV/atom) = -5.564
- mass density (g/cm³) = 9.694
- DOS(E_F) (states/eV per atom) = 0.6659
- spin magnetization (μB per formula unit) = 0.00

Cell lengths 4.164, 4.339, 5.060 Å; angles 90.00, 90.00, 90.00 degrees
Element x y z (fractional)
1 Pb 0.000 0.000 0.000
2 Pb 0.500 0.500 0.000
3 Si 0.500 0.000 0.500
4 Zr 0.000 0.500 0.500

# 4
VASP calculation (PBEsol) on an optimized crystal structure of Sm5Pb3.

Calculated values
- space group = No. 193
- total DFT energy (no corrections) (eV/atom) = -5.264
- mass density (g/cm³) = 9.473
- energy relative to the elements (eV per atom) = -0.582
- DOS(E_F) (states/eV per atom) = 0.8140
- spin magnetization (μB per formula unit) = 0.00

Cell lengths 6.669, 9.131, 9.131 Å; angles 120.00, 90.00, 90.00 degrees
Element x y z (fractional)
1 Sm 0.000 0.333 0.667
2 Sm 0.500 0.667 0.333
3 Sm 0.000 0.667 0.333
4 Sm 0.250 0.000 0.762
5 Sm 0.250 0.238 0.238
6 Sm 0.250 0.762 0.000
7 Sm 0.750 0.762 0.762
8 Sm 0.750 0.000 0.238
9 Sm 0.750 0.238 0.000
10 Sm 0.500 0.333 0.667
11 Pb 0.750 0.000 0.605
12 Pb 0.250 0.000 0.395
13 Pb 0.250 0.395 0.000
14 Pb 0.750 0.605 0.000
15 Pb 0.250 0.605 0.605
16 Pb 0.750 0.395 0.395

# 5
VASP calculation (PBEsol) on an optimized crystal structure of Tc3SnPb.

Calculated values
- space group = No. 221
- total DFT energy (no corrections) (eV/atom) = -6.048
- mass density (g/cm³) = 8.761
- energy relative to the elements (eV per atom) = 2.364
- DOS(E_F) (states/eV per atom) = 1.1094
- spin magnetization (μB per formula unit) = 3.57

Cell lengths 4.898, 4.898, 4.898 Å; angles 90.00, 90.00, 90.00 degrees
Site moments in Bohr magnetons follow the coordinates.
Element x y z (fractional)
1 Sn 0.500 0.500 0.500  -0.08
2 Pb 0.000 0.000 0.000  -0.04
3 Tc 0.500 0.000 0.000  1.18
4 Tc 0.000 0.000 0.500  1.18
5 Tc 0.000 0.500 0.000  1.18

# 6
VASP calculation (PBEsol) on an optimized crystal structure of Tl2TcSnPb.

Calculated values
- space group = No. 123
- total DFT energy (no corrections) (eV/atom) = -4.344
- mass density (g/cm³) = 9.572
- energy relative to the elements (eV per atom) = 0.613
- DOS(E_F) (states/eV per atom) = 0.9798
- spin magnetization (μB per formula unit) = 1.44

Cell lengths 5.218, 5.262, 5.262 Å; angles 90.00, 90.00, 90.00 degrees
Site moments in Bohr magnetons follow the coordinates.
Element x y z (fractional)
1 Sn 0.500 0.500 0.500  0.22
2 Tc 0.000 0.000 0.000  0.89
3 Pb 0.500 0.000 0.000  -0.01
4 Tl 0.000 0.500 0.000  0.00
5 Tl 0.000 0.000 0.500  0.00

# 7
VASP calculation (PBEsol) on an optimized crystal structure of SnPbW3.

Calculated values
- space group = No. 221
- total DFT energy (no corrections) (eV/atom) = -6.855
- mass density (g/cm³) = 12.008
- energy relative to the elements (eV per atom) = 3.081
- DOS(E_F) (states/eV per atom) = 1.0640
- spin magnetization (μB per formula unit) = 0.00

Cell lengths 4.951, 4.951, 4.951 Å; angles 90.00, 90.00, 90.00 degrees
Element x y z (fractional)
1 Sn 0.500 0.500 0.500
2 Pb 0.000 0.000 0.000
3 W 0.500 0.000 0.000
4 W 0.000 0.000 0.500
5 W 0.000 0.500 0.000

# 8
VASP calculation (PBEsol) on an optimized crystal structure of Y2SnPb.

Calculated values
- space group = No. 225
- total DFT energy (no corrections) (eV/atom) = -6.018
- mass density (g/cm³) = 7.854
- energy relative to the elements (eV per atom) = -0.543
- DOS(E_F) (states/eV per atom) = 1.1579
- spin magnetization (μB per formula unit) = 0.00

Cell lengths 5.321, 5.321, 5.321 Å; angles 60.00, 60.00, 60.00 degrees
Element x y z (fractional)
1 Y 0.750 0.750 0.750
2 Y 0.250 0.250 0.250
3 Pb 0.500 0.500 0.500
4 Sn 0.000 0.000 0.000

# 9
VASP calculation (PBEsol) on an optimized crystal structure of YSn2Pb2.

Calculated values
- space group = No. 139
- total DFT energy (no corrections) (eV/atom) = -4.710
- mass density (g/cm³) = 8.378
- energy relative to the elements (eV per atom) = -0.043
- DOS(E_F) (states/eV per atom) = 0.6028
- spin magnetization (μB per formula unit) = 0.00

Cell lengths 4.222, 4.222, 8.762 Å; angles 103.94, 103.94, 90.00 degrees
Element x y z (fractional)
1 Sn 0.250 0.750 0.500
2 Sn 0.750 0.250 0.500
3 Y 0.000 0.000 0.000
4 Pb 0.408 0.408 0.815
5 Pb 0.592 0.592 0.185

# 10
VASP calculation (PBEsol) on an optimized crystal structure of YSn3Pb.

Calculated values
- space group = No. 221
- total DFT energy (no corrections) (eV/atom) = -4.264
- mass density (g/cm³) = 6.061
- energy relative to the elements (eV per atom) = 0.456
- DOS(E_F) (states/eV per atom) = 0.6283
- spin magnetization (μB per formula unit) = 0.00

Cell lengths 5.633, 5.633, 5.633 Å; angles 90.00, 90.00, 90.00 degrees
Element x y z (fractional)
1 Sn 0.000 0.000 0.500
2 Sn 0.500 0.000 0.000
3 Sn 0.000 0.500 0.000
4 Pb 0.500 0.500 0.500
5 Y 0.000 0.000 0.000

# 11
VASP calculation (PBEsol) on an optimized crystal structure of Zn2SnPb2.

Calculated values
- space group = No. 127
- total DFT energy (no corrections) (eV/atom) = -2.987
- mass density (g/cm³) = 9.418
- energy relative to the elements (eV per atom) = 0.097
- DOS(E_F) (states/eV per atom) = 0.4062
- spin magnetization (μB per formula unit) = 0.00

Cell lengths 4.529, 7.190, 7.190 Å; angles 90.00, 90.00, 90.00 degrees
Element x y z (fractional)
1 Zn 0.000 0.377 0.877
2 Zn 0.000 0.877 0.623
3 Zn 0.000 0.123 0.377
4 Zn 0.000 0.623 0.123
5 Pb 0.500 0.821 0.321
6 Pb 0.500 0.179 0.679
7 Pb 0.500 0.321 0.179
8 Pb 0.500 0.679 0.821
9 Sn 0.000 0.500 0.500
10 Sn 0.000 0.000 0.000

# 12
VASP calculation (PBEsol) on an optimized crystal structure of ZnSn2Pb2.

Calculated values
- space group = No. 127
- total DFT energy (no corrections) (eV/atom) = -3.510
- mass density (g/cm³) = 8.930
- energy relative to the elements (eV per atom) = 0.110
- DOS(E_F) (states/eV per atom) = 0.4842
- spin magnetization (μB per formula unit) = 0.00

Cell lengths 5.275, 7.111, 7.111 Å; angles 90.00, 90.00, 90.00 degrees
Element x y z (fractional)
1 Pb 0.500 0.819 0.319
2 Pb 0.500 0.181 0.681
3 Pb 0.500 0.681 0.819
4 Pb 0.500 0.319 0.181
5 Sn 0.000 0.855 0.645
6 Sn 0.000 0.645 0.145
7 Sn 0.000 0.145 0.355
8 Sn 0.000 0.355 0.855
9 Zn 0.000 0.500 0.500
10 Zn 0.000 0.000 0.000

# 13
VASP calculation (PBEsol) on an optimized crystal structure of Zr2SnPb.

Calculated values
- space group = No. 225
- total DFT energy (no corrections) (eV/atom) = -6.800
- mass density (g/cm³) = 9.463
- energy relative to the elements (eV per atom) = -0.190
- DOS(E_F) (states/eV per atom) = 1.5803
- spin magnetization (μB per formula unit) = 0.00

Cell lengths 5.015, 5.015, 5.015 Å; angles 60.00, 60.00, 60.00 degrees
Element x y z (fractional)
1 Zr 0.750 0.750 0.750
2 Zr 0.250 0.250 0.250
3 Sn 0.000 0.000 0.000
4 Pb 0.500 0.500 0.500

# 14
VASP calculation (PBEsol) on an optimized crystal structure of ZrSnPb3.

Calculated values
- space group = No. 221
- total DFT energy (no corrections) (eV/atom) = -4.582
- mass density (g/cm³) = 8.017
- energy relative to the elements (eV per atom) = 0.487
- DOS(E_F) (states/eV per atom) = 0.7342
- spin magnetization (μB per formula unit) = 0.00

Cell lengths 5.564, 5.564, 5.564 Å; angles 90.00, 90.00, 90.00 degrees
Element x y z (fractional)
1 Pb 0.500 0.000 0.000
2 Pb 0.000 0.500 0.000
3 Pb 0.000 0.000 0.500
4 Zr 0.000 0.000 0.000
5 Sn 0.500 0.500 0.500